1.
First-principles (PBEsol) data for a geometry-optimized TaAlCu2 structure, as listed in Alexandria via LeMat-Bulk.

Unit cell a=2.8117 b=2.8117 c=6.9300 alpha=90.00 beta=90.00 gamma=90.00
Space group P4mm (No. 99)
Inequivalent atoms, fractional coordinates:
Ta 0.0000 0.0000 0.0000
Al 0.5000 0.5000 0.2890
Cu 0.0000 0.0000 0.5166
Cu 0.5000 0.5000 0.7324

Properties
As for the formation energy: -0.5 eV per formula unit. For the final energy, the calculation gives -6.46 eV per atom.

2.
First-principles (PBEsol) data for a geometry-optimized TaAl2Cu structure, as listed in Alexandria via LeMat-Bulk.

Unit cell a=3.0228 b=3.0228 c=6.4437 alpha=90.00 beta=90.00 gamma=90.00
Space group P4mm (No. 99)
Inequivalent atoms, fractional coordinates:
Ta 0.0000 0.0000 0.0000
Al 0.0000 0.0000 0.5367
Al 0.5000 0.5000 0.2722
Cu 0.5000 0.5000 0.7237

Properties
As for the formation energy: -0.4 eV per formula unit. For the final energy, the calculation gives -6.36 eV per atom.

3.
First-principles (PBEsol) data for a geometry-optimized Tb2AlCu structure, as listed in Alexandria via LeMat-Bulk.

Unit cell a=3.4140 b=3.4140 c=7.3465 alpha=90.00 beta=90.00 gamma=90.00
Space group P4/mmm (No. 123)
Inequivalent atoms, fractional coordinates:
Tb 0.0000 0.0000 0.2354
Al 0.5000 0.5000 0.5000
Cu 0.5000 0.5000 0.0000

Properties
As for the formation energy: -1.2 eV per formula unit. For the final energy, the calculation gives -4.91 eV per atom.